Compound: Pr2NdSm3P6
Source: the Alexandria database
Functional: GGA-PBE
Structure: optimized geometry

Unit cell a=9.2777 b=9.2777 c=8.2987 alpha=102.93 beta=102.93 gamma=25.86
Closest atoms and distances in Å follow each position.
Fractional positions:
Pr 0.1665 0.1665 0.3329  6 P 2.95-2.96
Pr 0.8335 0.8335 0.6671  6 P 2.95-2.96
Nd 0.5000 0.5000 0.0000  6 P 2.95
Sm 0.1667 0.1667 0.8334  6 P 2.91-2.92
Sm 0.5000 0.5000 0.5000  6 P 2.91-2.92
Sm 0.8333 0.8333 0.1666  6 P 2.91-2.92
P 0.0013 0.0013 0.7484  3 Sm 2.91-2.92, 2 Nd 2.95, 1 Pr 2.95
P 0.3326 0.3326 0.9202  3 Sm 2.91-2.92, 1 Nd 2.95, 2 Pr 2.96
P 0.3346 0.3346 0.4136  3 Sm 2.91, 3 Pr 2.96
P 0.6654 0.6654 0.5864  3 Sm 2.91, 3 Pr 2.96
P 0.6674 0.6674 0.0798  3 Sm 2.91-2.92, 1 Nd 2.95, 2 Pr 2.96
P 0.9987 0.9987 0.2516  3 Sm 2.91-2.92, 2 Nd 2.95, 1 Pr 2.95

Computed properties:
ΔH_f (0 K) = -149.13 kJ/mol of atoms
M_tot = 0.000 μB per atom
space-group type = C2/m
density of states at the Fermi level = 0.1415 states/eV per atom
E_tot = -0.4869 Ry per atom

***

Compound: Sc2NbTl
Source: the Alexandria database
Functional: GGA-PBE
Structure: optimized geometry

Unit cell a=4.9488 b=4.9488 c=4.9488 alpha=60.00 beta=60.00 gamma=60.00
Closest atoms and distances in Å follow each position.
Fractional positions:
Sc 0.2500 0.2500 0.2500  4 Tl 3.03, 4 Nb 3.03
Sc 0.7500 0.7500 0.7500  4 Tl 3.03, 4 Nb 3.03
Nb 0.0000 0.0000 0.0000  8 Sc 3.03
Tl 0.5000 0.5000 0.5000  8 Sc 3.03

Computed properties:
ΔH_f (0 K) = 6.35 kJ/mol of atoms
M_tot = 0.228 μB per atom
space-group type = Fm-3m
density of states at the Fermi level = 1.5577 states/eV per atom
E_tot = -0.4563 Ry per atom